(1)
# MgAlSiIr | OQMD | GGA-PBE | relaxed
data_MgAlSiIr
_cell_length_a 6.2371
_cell_length_b 6.2371
_cell_length_c 6.2371
_cell_angle_alpha 90.00
_cell_angle_beta 90.00
_cell_angle_gamma 90.00
_space_group_name_H-M_alt 'F -4 3 m'
_space_group_IT_number 216
_space_group_name_Hall 'F -4 2 3'
loop_
_atom_site_label
_atom_site_fract_x
_atom_site_fract_y
_atom_site_fract_z
Mg1 0.0000 0.0000 0.0000
Al1 0.0000 0.0000 0.5000
Si1 0.2500 0.2500 0.2500
Ir1 0.2500 0.2500 0.7500
# **Spin magnetization**: 0.0 μB/cell
# **Crystal system**: cubic
# **Polymorph energy (0 for the lowest one)**: 15.4 kJ/mol of atoms

---

(2)
# Na4CdGe2Pt | OQMD | GGA-PBE | relaxed
data_Na4CdGe2Pt
_cell_length_a 4.8012
_cell_length_b 4.8012
_cell_length_c 6.9180
_cell_angle_alpha 90.00
_cell_angle_beta 90.00
_cell_angle_gamma 90.00
_space_group_name_H-M_alt 'P -4 m 2'
_space_group_IT_number 115
loop_
_space_group_symop_operation_xyz
'x,y,z'
'y,-x,-z'
'-x,-y,z'
'-y,x,-z'
'-x,y,z'
'-y,-x,-z'
'x,-y,z'
'y,x,-z'
loop_
_atom_site_label
_atom_site_fract_x
_atom_site_fract_y
_atom_site_fract_z
Na1 0.0000 0.0000 0.0000
Na2 0.0000 0.5000 0.7376
Na3 0.5000 0.5000 0.5000
Cd1 0.5000 0.5000 0.0000
Ge1 0.0000 0.5000 0.2787
Pt1 0.0000 0.0000 0.5000
# **Spin magnetization**: 0.0 μB/cell
# **Crystal system**: tetragonal
# **E**: -22.5 eV per cell

---

(3)
# YTlFeNi | OQMD | GGA-PBE | relaxed
data_YTlFeNi
_cell_length_a 6.7317
_cell_length_b 6.7317
_cell_length_c 6.7317
_cell_angle_alpha 90.00
_cell_angle_beta 90.00
_cell_angle_gamma 90.00
_space_group_name_H-M_alt 'F -4 3 m'
_space_group_IT_number 216
_space_group_name_Hall 'F -4 2 3'
loop_
_atom_site_label
_atom_site_fract_x
_atom_site_fract_y
_atom_site_fract_z
Y1 0.0000 0.0000 0.0000
Tl1 0.2500 0.2500 0.2500
Fe1 0.0000 0.0000 0.5000
Ni1 0.2500 0.2500 0.7500
# **Spin magnetization**: 12.2 μB/cell
# **Crystal system**: cubic
# **Polymorph energy (0 for the lowest one)**: 11.3 kJ/mol of atoms

---

(4)
# Y3Er2Lu3Te | OQMD | GGA-PBE | relaxed
data_Y3Er2Lu3Te
_cell_length_a 9.1497
_cell_length_b 9.1497
_cell_length_c 3.7336
_cell_angle_alpha 90.00
_cell_angle_beta 90.00
_cell_angle_gamma 120.00
_space_group_name_H-M_alt 'P -6 2 m'
_space_group_IT_number 189
_space_group_name_Hall 'P -6 -2'
loop_
_atom_site_label
_atom_site_fract_x
_atom_site_fract_y
_atom_site_fract_z
Y1 0.0000 0.2755 0.0000
Er1 0.3333 0.6667 0.0000
Lu1 0.0000 0.6147 0.5000
Te1 0.0000 0.0000 0.5000
# **Spin magnetization**: 0.1 μB/cell
# **Crystal system**: hexagonal
# **Polymorph energy (0 for the lowest one)**: 0.0 kJ/mol of atoms

---

(5)
# YCdFeGe | OQMD | GGA-PBE | relaxed
data_YCdFeGe
_cell_length_a 6.7848
_cell_length_b 6.7848
_cell_length_c 6.7848
_cell_angle_alpha 90.00
_cell_angle_beta 90.00
_cell_angle_gamma 90.00
_space_group_name_H-M_alt 'F -4 3 m'
_space_group_IT_number 216
_space_group_name_Hall 'F -4 2 3'
loop_
_atom_site_label
_atom_site_fract_x
_atom_site_fract_y
_atom_site_fract_z
Y1 0.0000 0.0000 0.0000
Cd1 0.2500 0.2500 0.7500
Fe1 0.0000 0.0000 0.5000
Ge1 0.2500 0.2500 0.2500
# **Spin magnetization**: 9.8 μB/cell
# **Crystal system**: cubic
# **Polymorph energy (0 for the lowest one)**: 0.0 kJ/mol of atoms

---

(6)
# HoLuFe2Ge2C | OQMD | GGA-PBE | relaxed
data_HoLuFe2Ge2C
_cell_length_a 10.5933
_cell_length_b 3.9370
_cell_length_c 6.7307
_cell_angle_alpha 90.00
_cell_angle_beta 128.36
_cell_angle_gamma 90.00
_space_group_name_H-M_alt 'C 1 m 1'
_space_group_IT_number 8
loop_
_space_group_symop_operation_xyz
'x,y,z'
'x,-y,z'
'x+1/2,y+1/2,z'
'x+1/2,-y+1/2,z'
loop_
_atom_site_label
_atom_site_fract_x
_atom_site_fract_y
_atom_site_fract_z
Ho1 0.0000 0.0000 0.0000
Lu1 0.1141 0.0000 0.5751
Fe1 0.2554 0.5000 0.3810
Fe2 0.3614 0.0000 0.1989
Ge1 0.2186 0.5000 0.9933
Ge2 0.3964 0.0000 0.5833
C1 0.0592 0.5000 0.2932
# **Spin magnetization**: 0.0 μB/cell
# **Crystal system**: monoclinic
# **E**: -96.8 eV per cell